DFT (PBE) results for a geometry-optimized Cs3LiC2O6 structure.

Unit cell a=5.9829 b=5.9829 c=7.3275 alpha=90.00 beta=90.00 gamma=120.00
With the nearest neighbours (Å) after each atom.
Sites, in units of the cell vectors:
Cs 0.3333 0.6667 0.7258  9 O 3.03-3.38, 1 C 3.12
Cs 0.6667 0.3333 0.2742  9 O 3.03-3.38, 1 C 3.12
Cs 0.0000 0.0000 0.0000  6 O 3.08
Li 0.0000 0.0000 0.5000  6 O 2.59
C 0.6667 0.3333 0.6996  3 O 1.31
C 0.3333 0.6667 0.3004  3 O 1.31
O 0.5862 0.7931 0.3011  1 C 1.31
O 0.2069 0.4138 0.3011  1 C 1.31
O 0.2069 0.7931 0.3011  1 C 1.31
O 0.7931 0.5862 0.6989  1 C 1.31
O 0.4138 0.2069 0.6989  1 C 1.31
O 0.7931 0.2069 0.6989  1 C 1.31

Computed properties:
Its raw formation energy is -1657 meV/atom.